Computed, not measured: a geometry-optimized MgBeF3 structure at the GGA-PBE level of DFT.

The structure in extended XYZ format:
```
5
Lattice="3.9341 0.0000 0.0000 0.0000 3.9341 0.0000 0.0000 0.0000 3.9341" Properties=species:S:1:pos:R:3 pbc="T T T"
Mg 0.0000 0.0000 0.0000
Be 1.9670 1.9670 1.9670
F 0.0000 0.0000 1.9670
F 0.0000 1.9670 0.0000
F 1.9670 0.0000 0.0000
```

Its density of states at the Fermi level is 0.86 states/eV per cell. As for the space group: Pm-3m, No. 221. The energy above the most stable polymorph in this dataset comes out at 0.201 eV/atom. For the total magnetization, the calculation gives 0.897 Bohr magnetons per cell. For the formation energy (no corrections), the calculation gives -2067 meV per atom.

Computed, not measured: a geometry-optimized MgBe3F structure at the GGA-PBE level of DFT.

The structure in extended XYZ format:
```
5
Lattice="4.6859 0.0000 0.0000 0.0000 4.6859 0.0000 0.0000 0.0000 4.6859" Properties=species:S:1:pos:R:3 pbc="T T T"
Mg 0.0000 0.0000 0.0000
Be 0.0000 0.0000 2.3429
Be 0.0000 2.3429 0.0000
Be 2.3429 0.0000 0.0000
F 2.3429 2.3429 2.3429
```

Its density of states at the Fermi level is 2.75 states/eV per cell. As for the space group: Pm-3m, No. 221. The energy above the most stable polymorph in this dataset comes out at 1.027 eV/atom. For the total magnetization, the calculation gives 0.000 Bohr magnetons per cell. For the formation energy (no corrections), the calculation gives 1253 meV per atom.

Computed, not measured: a geometry-optimized MgBe2F structure at the GGA-PBE level of DFT.

The structure in extended XYZ format:
```
4
Lattice="0.0000 3.0832 3.0832 3.0832 0.0000 3.0832 3.0832 3.0832 0.0000" Properties=species:S:1:pos:R:3 pbc="T T T"
Mg 0.0000 0.0000 0.0000
Be 1.5416 1.5416 1.5416
Be 4.6248 4.6248 4.6248
F 3.0832 3.0832 3.0832
```

Its density of states at the Fermi level is 1.43 states/eV per cell. As for the space group: Fm-3m, No. 225. The energy above the most stable polymorph in this dataset comes out at 0.562 eV/atom. For the total magnetization, the calculation gives 0.000 Bohr magnetons per cell. For the formation energy (no corrections), the calculation gives 447 meV per atom.